(i)
Compound: TaAlB
Source: OQMD via LeMat-Bulk
Functional: PBE
Structure: optimized geometry

```
TaAlB
1.0
5.788 0.000 0.000
0.000 5.788 0.000
0.000 0.000 5.788
Ta Al B
4 4 4
direct
0.000 0.000 0.000
0.000 0.500 0.500
0.500 0.000 0.500
0.500 0.500 0.000
0.250 0.250 0.750
0.250 0.750 0.250
0.750 0.250 0.250
0.750 0.750 0.750
0.250 0.250 0.250
0.250 0.750 0.750
0.750 0.250 0.750
0.750 0.750 0.250
```

=====

(ii)
Compound: TaAlB
Source: OQMD via LeMat-Bulk
Functional: PBE
Structure: optimized geometry

```
TaAlB
1.0
5.672 0.000 0.000
0.000 5.672 0.000
0.000 0.000 5.672
Ta Al B
4 4 4
direct
0.000 0.000 0.000
0.000 0.500 0.500
0.500 0.000 0.500
0.500 0.500 0.000
0.250 0.250 0.750
0.250 0.750 0.250
0.750 0.250 0.250
0.750 0.750 0.750
0.000 0.000 0.500
0.000 0.500 0.000
0.500 0.000 0.000
0.500 0.500 0.500
```

=====

Order of stability, best first: (i), (ii)

=====

(i)
Compound: TbAlB4
Source: OQMD via LeMat-Bulk
Functional: PBE
Structure: optimized geometry

```
TbAlB4
1.0
3.198 0.000 0.000
0.000 5.237 0.000
0.000 0.000 7.753
Tb Al B
2 2 8
direct
0.000 0.000 0.000
0.500 0.500 0.500
0.000 0.000 0.500
0.500 0.500 0.000
0.000 0.328 0.259
0.000 0.328 0.741
0.000 0.672 0.259
0.000 0.672 0.741
0.500 0.172 0.241
0.500 0.172 0.759
0.500 0.828 0.241
0.500 0.828 0.759
```

=====

(ii)
Compound: TbAlB4
Source: OQMD via LeMat-Bulk
Functional: PBE
Structure: optimized geometry

```
TbAlB4
1.0
3.116 0.000 0.000
-1.558 2.699 0.000
0.000 0.000 7.253
Tb Al B
1 1 4
direct
0.000 0.000 0.000
0.000 0.000 0.500
0.333 0.667 0.282
0.333 0.667 0.718
0.667 0.333 0.282
0.667 0.333 0.718
```

=====

Order of stability, best first: (ii), (i)

=====

(i)
Compound: AlTcB
Source: OQMD via LeMat-Bulk
Functional: PBE
Structure: optimized geometry

```
AlTcB
1.0
5.454 0.000 0.000
0.000 5.454 0.000
0.000 0.000 5.454
Al Tc B
4 4 4
direct
0.000 0.000 0.000
0.000 0.500 0.500
0.500 0.000 0.500
0.500 0.500 0.000
0.250 0.250 0.250
0.250 0.750 0.750
0.750 0.250 0.750
0.750 0.750 0.250
0.250 0.250 0.750
0.250 0.750 0.250
0.750 0.250 0.250
0.750 0.750 0.750
```

=====

(ii)
Compound: AlTcB
Source: OQMD via LeMat-Bulk
Functional: PBE
Structure: optimized geometry

```
AlTcB
1.0
5.496 0.000 0.000
0.000 5.496 0.000
0.000 0.000 5.496
Al Tc B
4 4 4
direct
0.000 0.000 0.000
0.000 0.500 0.500
0.500 0.000 0.500
0.500 0.500 0.000
0.250 0.250 0.750
0.250 0.750 0.250
0.750 0.250 0.250
0.750 0.750 0.750
0.000 0.000 0.500
0.000 0.500 0.000
0.500 0.000 0.000
0.500 0.500 0.500
```

=====

Order of stability, best first: (ii), (i)

=====

(i)
Compound: ZrAlB
Source: OQMD via LeMat-Bulk
Functional: PBE
Structure: optimized geometry

```
ZrAlB
1.0
5.610 0.000 0.000
0.000 5.610 0.000
0.000 0.000 5.610
Zr Al B
4 4 4
direct
0.000 0.000 0.000
0.000 0.500 0.500
0.500 0.000 0.500
0.500 0.500 0.000
0.000 0.000 0.500
0.000 0.500 0.000
0.500 0.000 0.000
0.500 0.500 0.500
0.250 0.250 0.750
0.250 0.750 0.250
0.750 0.250 0.250
0.750 0.750 0.750
```

=====

(ii)
Compound: ZrAlB
Source: OQMD via LeMat-Bulk
Functional: PBE
Structure: optimized geometry

```
ZrAlB
1.0
5.970 0.000 0.000
0.000 5.970 0.000
0.000 0.000 5.970
Zr Al B
4 4 4
direct
0.000 0.000 0.000
0.000 0.500 0.500
0.500 0.000 0.500
0.500 0.500 0.000
0.250 0.250 0.750
0.250 0.750 0.250
0.750 0.250 0.250
0.750 0.750 0.750
0.250 0.250 0.250
0.250 0.750 0.750
0.750 0.250 0.750
0.750 0.750 0.250
```

=====

Order of stability, best first: (i), (ii)

=====

(i)
Compound: Ba2AlWS6
Source: OQMD via LeMat-Bulk
Functional: PBE
Structure: optimized geometry

```
Ba2AlWS6
1.0
5.873 -3.379 0.000
5.873 3.379 0.000
-4.051 0.000 5.600
Ba Al W S
2 1 1 6
direct
0.248 0.248 0.248
0.752 0.752 0.752
0.500 0.500 0.000
0.000 0.000 0.500
0.225 0.722 0.721
0.251 0.251 0.802
0.278 0.775 0.279
0.722 0.225 0.721
0.749 0.749 0.198
0.775 0.278 0.279
```

=====

(ii)
Compound: Ba2AlWS6
Source: OQMD via LeMat-Bulk
Functional: PBE
Structure: optimized geometry

```
Ba2AlWS6
1.0
0.000 4.801 4.801
4.801 0.000 4.801
4.801 4.801 0.000
Ba Al W S
2 1 1 6
direct
0.250 0.250 0.250
0.750 0.750 0.750
0.000 0.000 0.000
0.500 0.500 0.500
0.249 0.249 0.751
0.249 0.751 0.249
0.249 0.751 0.751
0.751 0.249 0.249
0.751 0.249 0.751
0.751 0.751 0.249
```

=====

Order of stability, best first: (i), (ii)

=====

(i)
Compound: BeAlBiOs
Source: OQMD via LeMat-Bulk
Functional: PBE
Structure: optimized geometry

```
BeAlBiOs
1.0
6.443 0.000 0.000
0.000 6.443 0.000
0.000 0.000 6.443
Be Al Bi Os
4 4 4 4
direct
0.000 0.000 0.000
0.000 0.500 0.500
0.500 0.000 0.500
0.500 0.500 0.000
0.000 0.000 0.500
0.000 0.500 0.000
0.500 0.000 0.000
0.500 0.500 0.500
0.250 0.250 0.250
0.250 0.750 0.750
0.750 0.250 0.750
0.750 0.750 0.250
0.250 0.250 0.750
0.250 0.750 0.250
0.750 0.250 0.250
0.750 0.750 0.750
```

=====

(ii)
Compound: BeAlBiOs
Source: OQMD via LeMat-Bulk
Functional: PBE
Structure: optimized geometry

```
BeAlBiOs
1.0
6.439 0.000 0.000
0.000 6.439 0.000
0.000 0.000 6.439
Be Al Bi Os
4 4 4 4
direct
0.000 0.000 0.000
0.000 0.500 0.500
0.500 0.000 0.500
0.500 0.500 0.000
0.250 0.250 0.750
0.250 0.750 0.250
0.750 0.250 0.250
0.750 0.750 0.750
0.250 0.250 0.250
0.250 0.750 0.750
0.750 0.250 0.750
0.750 0.750 0.250
0.000 0.000 0.500
0.000 0.500 0.000
0.500 0.000 0.000
0.500 0.500 0.500
```

=====

Order of stability, best first: (ii), (i)

=====

(i)
Compound: BeAlCdCu
Source: OQMD via LeMat-Bulk
Functional: PBE
Structure: optimized geometry

```
BeAlCdCu
1.0
6.123 0.000 0.000
0.000 6.123 0.000
0.000 0.000 6.123
Be Al Cd Cu
4 4 4 4
direct
0.000 0.000 0.000
0.000 0.500 0.500
0.500 0.000 0.500
0.500 0.500 0.000
0.000 0.000 0.500
0.000 0.500 0.000
0.500 0.000 0.000
0.500 0.500 0.500
0.250 0.250 0.250
0.250 0.750 0.750
0.750 0.250 0.750
0.750 0.750 0.250
0.250 0.250 0.750
0.250 0.750 0.250
0.750 0.250 0.250
0.750 0.750 0.750
```

=====

(ii)
Compound: BeAlCdCu
Source: OQMD via LeMat-Bulk
Functional: PBE
Structure: optimized geometry

```
BeAlCdCu
1.0
6.143 0.000 0.000
0.000 6.143 0.000
0.000 0.000 6.143
Be Al Cd Cu
4 4 4 4
direct
0.000 0.000 0.000
0.000 0.500 0.500
0.500 0.000 0.500
0.500 0.500 0.000
0.250 0.250 0.250
0.250 0.750 0.750
0.750 0.250 0.750
0.750 0.750 0.250
0.250 0.250 0.750
0.250 0.750 0.250
0.750 0.250 0.250
0.750 0.750 0.750
0.000 0.000 0.500
0.000 0.500 0.000
0.500 0.000 0.000
0.500 0.500 0.500
```

=====

Order of stability, best first: (ii), (i)

=====

(i)
Compound: BeAlCo
Source: OQMD via LeMat-Bulk
Functional: PBE
Structure: optimized geometry

```
BeAlCo
1.0
5.359 0.000 0.000
0.000 5.359 0.000
0.000 0.000 5.359
Be Al Co
4 4 4
direct
0.000 0.000 0.000
0.000 0.500 0.500
0.500 0.000 0.500
0.500 0.500 0.000
0.000 0.000 0.500
0.000 0.500 0.000
0.500 0.000 0.000
0.500 0.500 0.500
0.250 0.250 0.750
0.250 0.750 0.250
0.750 0.250 0.250
0.750 0.750 0.750
```

=====

(ii)
Compound: BeAlCo
Source: OQMD via LeMat-Bulk
Functional: PBE
Structure: optimized geometry

```
BeAlCo
1.0
5.369 0.000 0.000
0.000 5.369 0.000
0.000 0.000 5.369
Be Al Co
4 4 4
direct
0.000 0.000 0.000
0.000 0.500 0.500
0.500 0.000 0.500
0.500 0.500 0.000
0.250 0.250 0.250
0.250 0.750 0.750
0.750 0.250 0.750
0.750 0.750 0.250
0.000 0.000 0.500
0.000 0.500 0.000
0.500 0.000 0.000
0.500 0.500 0.500
```

=====

Order of stability, best first: (i), (ii)

=====

(i)
Compound: BeAl2CoCu4
Source: OQMD via LeMat-Bulk
Functional: PBE
Structure: optimized geometry

```
BeAl2CoCu4
1.0
3.902 0.000 0.000
0.000 3.902 0.000
0.000 0.000 6.091
Be Al Co Cu
1 2 1 4
direct
0.000 0.000 0.000
0.000 0.000 0.500
0.500 0.500 0.000
0.500 0.500 0.500
0.000 0.500 0.236
0.000 0.500 0.764
0.500 0.000 0.236
0.500 0.000 0.764
```

=====

(ii)
Compound: BeAl2CoCu4
Source: OQMD via LeMat-Bulk
Functional: PBE
Structure: optimized geometry

```
BeAl2CoCu4
1.0
-2.871 2.871 5.593
2.871 -2.871 5.593
2.871 2.871 -5.593
Be Al Co Cu
2 4 2 8
direct
0.375 0.625 0.750
0.625 0.375 0.250
0.110 0.360 0.750
0.360 0.110 0.250
0.640 0.890 0.750
0.890 0.640 0.250
0.125 0.875 0.250
0.875 0.125 0.750
0.000 0.276 0.276
0.000 0.724 0.724
0.276 0.000 0.776
0.276 0.500 0.276
0.500 0.276 0.776
0.500 0.724 0.224
0.724 0.000 0.224
0.724 0.500 0.724
```

=====

Order of stability, best first: (ii), (i)

=====

(i)
Compound: BeAlCoCu
Source: OQMD via LeMat-Bulk
Functional: PBE
Structure: optimized geometry

```
BeAlCoCu
1.0
5.614 0.000 0.000
0.000 5.614 0.000
0.000 0.000 5.614
Be Al Co Cu
4 4 4 4
direct
0.000 0.000 0.000
0.000 0.500 0.500
0.500 0.000 0.500
0.500 0.500 0.000
0.250 0.250 0.750
0.250 0.750 0.250
0.750 0.250 0.250
0.750 0.750 0.750
0.000 0.000 0.500
0.000 0.500 0.000
0.500 0.000 0.000
0.500 0.500 0.500
0.250 0.250 0.250
0.250 0.750 0.750
0.750 0.250 0.750
0.750 0.750 0.250
```

=====

(ii)
Compound: BeAlCoCu
Source: OQMD via LeMat-Bulk
Functional: PBE
Structure: optimized geometry

```
BeAlCoCu
1.0
5.575 0.000 0.000
0.000 5.575 0.000
0.000 0.000 5.575
Be Al Co Cu
4 4 4 4
direct
0.000 0.000 0.000
0.000 0.500 0.500
0.500 0.000 0.500
0.500 0.500 0.000
0.000 0.000 0.500
0.000 0.500 0.000
0.500 0.000 0.000
0.500 0.500 0.500
0.250 0.250 0.750
0.250 0.750 0.250
0.750 0.250 0.250
0.750 0.750 0.750
0.250 0.250 0.250
0.250 0.750 0.750
0.750 0.250 0.750
0.750 0.750 0.250
```

=====

Order of stability, best first: (ii), (i)

=====

(i)
Compound: BeAlCoHg
Source: OQMD via LeMat-Bulk
Functional: PBE
Structure: optimized geometry

```
BeAlCoHg
1.0
5.985 0.000 0.000
0.000 5.985 0.000
0.000 0.000 5.985
Be Al Co Hg
4 4 4 4
direct
0.000 0.000 0.000
0.000 0.500 0.500
0.500 0.000 0.500
0.500 0.500 0.000
0.000 0.000 0.500
0.000 0.500 0.000
0.500 0.000 0.000
0.500 0.500 0.500
0.250 0.250 0.750
0.250 0.750 0.250
0.750 0.250 0.250
0.750 0.750 0.750
0.250 0.250 0.250
0.250 0.750 0.750
0.750 0.250 0.750
0.750 0.750 0.250
```

=====

(ii)
Compound: BeAlCoHg
Source: OQMD via LeMat-Bulk
Functional: PBE
Structure: optimized geometry

```
BeAlCoHg
1.0
6.018 0.000 0.000
0.000 6.018 0.000
0.000 0.000 6.018
Be Al Co Hg
4 4 4 4
direct
0.000 0.000 0.000
0.000 0.500 0.500
0.500 0.000 0.500
0.500 0.500 0.000
0.250 0.250 0.250
0.250 0.750 0.750
0.750 0.250 0.750
0.750 0.750 0.250
0.000 0.000 0.500
0.000 0.500 0.000
0.500 0.000 0.000
0.500 0.500 0.500
0.250 0.250 0.750
0.250 0.750 0.250
0.750 0.250 0.250
0.750 0.750 0.750
```

=====

Order of stability, best first: (i), (ii)

=====

(i)
Compound: LiBeAlCo
Source: OQMD via LeMat-Bulk
Functional: PBE
Structure: optimized geometry

```
LiBeAlCo
1.0
5.556 0.000 0.000
0.000 5.556 0.000
0.000 0.000 5.556
Li Be Al Co
4 4 4 4
direct
0.000 0.000 0.000
0.000 0.500 0.500
0.500 0.000 0.500
0.500 0.500 0.000
0.250 0.250 0.750
0.250 0.750 0.250
0.750 0.250 0.250
0.750 0.750 0.750
0.250 0.250 0.250
0.250 0.750 0.750
0.750 0.250 0.750
0.750 0.750 0.250
0.000 0.000 0.500
0.000 0.500 0.000
0.500 0.000 0.000
0.500 0.500 0.500
```

=====

(ii)
Compound: LiBeAlCo
Source: OQMD via LeMat-Bulk
Functional: PBE
Structure: optimized geometry

```
LiBeAlCo
1.0
5.517 0.000 0.000
0.000 5.517 0.000
0.000 0.000 5.517
Li Be Al Co
4 4 4 4
direct
0.000 0.000 0.000
0.000 0.500 0.500
0.500 0.000 0.500
0.500 0.500 0.000
0.000 0.000 0.500
0.000 0.500 0.000
0.500 0.000 0.000
0.500 0.500 0.500
0.250 0.250 0.750
0.250 0.750 0.250
0.750 0.250 0.250
0.750 0.750 0.750
0.250 0.250 0.250
0.250 0.750 0.750
0.750 0.250 0.750
0.750 0.750 0.250
```

=====

Order of stability, best first: (i), (ii)